[1]
# FeB PBE-GGA relaxed
# crystal system = trigonal
# spin magnetization = 0.00 μB/cell
# ΔE_f = 18 kJ/mol of formula units
# mass density = 6.7 g/cm3
data_FeB
_symmetry_space_group_name_H-M 'R -3 m'
_symmetry_Int_Tables_number 166
_symmetry_space_group_name_Hall '-R 3 2"'
_cell_length_a 2.5782
_cell_length_b 2.5782
_cell_length_c 8.6140
_cell_angle_alpha 90.00
_cell_angle_beta 90.00
_cell_angle_gamma 120.00
loop_
_atom_site_label
_atom_site_type_symbol
_atom_site_fract_x
_atom_site_fract_y
_atom_site_fract_z
Fe1 Fe 0.0000 0.0000 0.0000
B1 B 0.0000 0.0000 0.5000



[2]
# FeB PBE-GGA relaxed
# crystal system = orthorhombic
# spin magnetization = 8.04 μB/cell
# ΔE_f = -48 kJ/mol of formula units
# mass density = 7.0 g/cm3
data_FeB
_symmetry_space_group_name_H-M 'P 21 21 21'
_symmetry_Int_Tables_number 19
_cell_length_a 4.075
_cell_length_b 4.099
_cell_length_c 7.548
_cell_angle_alpha 90.00
_cell_angle_beta 90.00
_cell_angle_gamma 90.00
loop_
_symmetry_equiv_pos_as_xyz
'x,y,z'
'-x+1/2,-y,z+1/2'
'x+1/2,-y+1/2,-z'
'-x,y+1/2,-z+1/2'
loop_
_atom_site_label
_atom_site_type_symbol
_atom_site_fract_x
_atom_site_fract_y
_atom_site_fract_z
Fe1 Fe 0.131 0.091 0.019
Fe2 Fe 0.152 0.618 0.807
B1 B 0.128 0.596 0.083
B2 B 0.157 0.870 0.273



[3]
# Fe2B7 PBE-GGA relaxed
# crystal system = orthorhombic
# spin magnetization = 3.45 μB/cell
# ΔE_f = -165 kJ/mol of formula units
# mass density = 4.8 g/cm3
data_Fe2B7
_symmetry_space_group_name_H-M 'P b a m'
_symmetry_Int_Tables_number 55
_cell_length_a 10.622
_cell_length_b 16.915
_cell_length_c 2.880
_cell_angle_alpha 90.00
_cell_angle_beta 90.00
_cell_angle_gamma 90.00
loop_
_symmetry_equiv_pos_as_xyz
'x,y,z'
'-x,-y,-z'
'-x,-y,z'
'x,y,-z'
'x+1/2,-y+1/2,-z'
'-x+1/2,y+1/2,z'
'-x+1/2,y+1/2,-z'
'x+1/2,-y+1/2,z'
loop_
_atom_site_label
_atom_site_type_symbol
_atom_site_fract_x
_atom_site_fract_y
_atom_site_fract_z
Fe1 Fe 0.032 0.221 0.000
Fe2 Fe 0.108 0.967 0.000
Fe3 Fe 0.179 0.622 0.500
Fe4 Fe 0.234 0.386 0.500
B1 B 0.025 0.399 0.500
B2 B 0.038 0.048 0.500
B3 B 0.045 0.701 0.500
B4 B 0.053 0.868 0.500
B5 B 0.058 0.554 0.000
B6 B 0.099 0.445 0.000
B7 B 0.108 0.303 0.500
B8 B 0.124 0.141 0.500
B9 B 0.139 0.839 0.000
B10 B 0.144 0.719 0.000
B11 B 0.194 0.035 0.500
B12 B 0.208 0.180 0.000
B13 B 0.212 0.290 0.000
B14 B 0.212 0.520 0.000



[4]
# FeB PBE-GGA relaxed
# crystal system = cubic
# spin magnetization = 5.47 μB/cell
# ΔE_f = 137 kJ/mol of formula units
# mass density = 4.2 g/cm3
data_FeB
_symmetry_space_group_name_H-M 'P m -3 n'
_symmetry_Int_Tables_number 223
_symmetry_space_group_name_Hall '-P 4n 2 3'
_cell_length_a 5.401
_cell_length_b 5.401
_cell_length_c 5.401
_cell_angle_alpha 90.00
_cell_angle_beta 90.00
_cell_angle_gamma 90.00
loop_
_atom_site_label
_atom_site_type_symbol
_atom_site_fract_x
_atom_site_fract_y
_atom_site_fract_z
Fe1 Fe 0.000 0.250 0.500
B1 B 0.000 0.500 0.250



[5]
# FeB PBE-GGA relaxed
# crystal system = orthorhombic
# spin magnetization = 5.72 μB/cell
# ΔE_f = -71 kJ/mol of formula units
# mass density = 6.9 g/cm3
data_FeB
_symmetry_space_group_name_H-M 'C m c m'
_symmetry_Int_Tables_number 63
_symmetry_space_group_name_Hall '-C 2c 2'
_cell_length_a 2.890
_cell_length_b 7.530
_cell_length_c 2.946
_cell_angle_alpha 90.00
_cell_angle_beta 90.00
_cell_angle_gamma 90.00
loop_
_atom_site_label
_atom_site_type_symbol
_atom_site_fract_x
_atom_site_fract_y
_atom_site_fract_z
Fe1 Fe 0.000 0.143 0.250
B1 B 0.000 0.431 0.250



[6]
# FeB PBE-GGA relaxed
# crystal system = cubic
# spin magnetization = 3.97 μB/cell
# ΔE_f = 142 kJ/mol of formula units
# mass density = 5.1 g/cm3
data_FeB
_symmetry_space_group_name_H-M 'F -4 3 m'
_symmetry_Int_Tables_number 216
_symmetry_space_group_name_Hall 'F -4 2 3'
_cell_length_a 4.429
_cell_length_b 4.429
_cell_length_c 4.429
_cell_angle_alpha 90.00
_cell_angle_beta 90.00
_cell_angle_gamma 90.00
loop_
_atom_site_label
_atom_site_type_symbol
_atom_site_fract_x
_atom_site_fract_y
_atom_site_fract_z
Fe1 Fe 0.000 0.000 0.000
B1 B 0.250 0.250 0.250